Material: Te2PtI
Method: DFT, PBE
State: relaxed

The structure belongs to space group I4_1/amd (No. 141, origin choice 2); the cell edges are 5.9992, 5.9992 and 12.6354 Å and the angles 90.00°, 90.00° and 90.00°. Symmetry generates all atoms from Te at (0.0000, 0.2500, 0.0827), Pt at (0.0000, 0.2500, 0.8750) and I at (0.0000, 0.2500, 0.3750).

The total energy is -3.501 eV/atom.


Material: Y3SbO7
Method: DFT, PBE
State: relaxed

The structure belongs to space group Cmcm (No. 63); the cell edges are 7.4973, 10.5959 and 7.5395 Å and the angles 90.00°, 90.00° and 90.00°. Symmetry generates all atoms from Y at (0.0000, 0.0000, 0.0000), Y at (0.2342, 0.2657, 0.2500), Sb at (0.0000, 0.5000, 0.0000), O at (0.0000, 0.1300, 0.7500), O at (0.0000, 0.1374, 0.2500), O at (0.0000, 0.4305, 0.2500) and O at (0.1967, 0.3752, 0.5297).

The total energy is -8.253 eV/atom.


Material: Pm3BAs
Method: DFT, PBE
State: relaxed

The structure belongs to space group Pm-3m (No. 221); the cell edges are 5.0758, 5.0758 and 5.0758 Å and the angles 90.00°, 90.00° and 90.00°. Symmetry generates all atoms from Pm at (0.0000, 0.0000, 0.5000), B at (0.0000, 0.0000, 0.0000) and As at (0.5000, 0.5000, 0.5000).

The calculation puts the formation energy at -0.3345 eV per atom.


Material: NaNbZn
Method: DFT, PBE
State: relaxed

The structure belongs to space group P1 (No. 1); the cell edges are 2.6573, 2.9536 and 8.1479 Å and the angles 81.22°, 82.30° and 66.81°. Symmetry generates all atoms from Na at (0.0000, 0.0000, 0.0000), Nb at (0.6191, 0.6317, 0.6298) and Zn at (0.3460, 0.3719, 0.3346).

The value obtained for the polymorph energy (0 for the lowest one) is 227.8 meV/atom. The calculation puts the formation energy at 0.3278 eV per atom.


Material: TmSiB
Method: DFT, PBE
State: relaxed

The structure belongs to space group P-6m2 (No. 187); the cell edges are 3.5313, 3.5313 and 4.0369 Å and the angles 90.00°, 90.00° and 120.00°. Symmetry generates all atoms from Tm at (0.0000, 0.0000, 0.0000), Si at (0.6667, 0.3333, 0.5000) and B at (0.3333, 0.6667, 0.5000).

The value obtained for the polymorph energy (0 for the lowest one) is 0.0 meV/atom.


Material: BeTlRu2
Method: DFT, PBE
State: relaxed

The structure belongs to space group Pmmm (No. 47); the cell edges are 3.0418, 4.3388 and 4.6362 Å and the angles 90.00°, 90.00° and 90.00°. Symmetry generates all atoms from Be at (0.0000, 0.0000, 0.0000), Tl at (0.5000, 0.0000, 0.5000), Ru at (0.0000, 0.5000, 0.5000) and Ru at (0.5000, 0.5000, 0.0000).

The value obtained for the polymorph energy (0 for the lowest one) is 349.5 meV/atom. The calculation puts the formation energy at 0.6229 eV per atom.


Material: SmEu2Au
Method: DFT, PBE
State: relaxed

The structure belongs to space group R-3m (No. 166, hexagonal axes); the cell edges are 3.7612, 3.7612 and 34.0318 Å and the angles 90.00°, 90.00° and 120.00°. Symmetry generates all atoms from Sm at (0.0000, 0.0000, 0.0000), Eu at (0.0000, 0.0000, 0.1032) and Au at (0.0000, 0.0000, 0.5000).

The value obtained for the polymorph energy (0 for the lowest one) is 246.0 meV/atom. The calculation puts the formation energy at -0.0882 eV per atom.


Material: Y2Mg3
Method: DFT, PBE
State: relaxed

The structure belongs to space group P4/mmm (No. 123); the cell edges are 3.7634, 3.7634 and 18.7534 Å and the angles 90.00°, 90.00° and 90.00°. Symmetry generates all atoms from Y at (0.0000, 0.0000, 0.1029), Y at (0.0000, 0.0000, 0.3039), Mg at (0.0000, 0.0000, 0.5000), Mg at (0.5000, 0.5000, 0.0000), Mg at (0.5000, 0.5000, 0.2039) and Mg at (0.5000, 0.5000, 0.4106).

The value obtained for the polymorph energy (0 for the lowest one) is 0.0 meV/atom. The calculation puts the formation energy at -0.0898 eV per atom.


Material: TaTc3Ru
Method: DFT, PBE
State: relaxed

The structure belongs to space group Pm-3m (No. 221); the cell edges are 4.6485, 4.6485 and 4.6485 Å and the angles 90.00°, 90.00° and 90.00°. Symmetry generates all atoms from Ta at (0.0000, 0.0000, 0.0000), Tc at (0.0000, 0.0000, 0.5000) and Ru at (0.5000, 0.5000, 0.5000).

The value obtained for the polymorph energy (0 for the lowest one) is 399.6 meV/atom. The calculation puts the formation energy at 2.0265 eV per atom.


Material: TmAg5Pd2
Method: DFT, PBE
State: relaxed

The structure belongs to space group Pbam (No. 55); the cell edges are 5.9032, 11.7984 and 4.1385 Å and the angles 90.00°, 90.00° and 90.00°. Symmetry generates all atoms from Tm at (0.0000, 0.0000, 0.0000), Ag at (0.0000, 0.5000, 0.0000), Ag at (0.0196, 0.2519, 0.0000), Ag at (0.2284, 0.6314, 0.5000) and Pd at (0.2355, 0.8797, 0.5000).

The calculation puts the formation energy at -0.2711 eV per atom.


Material: NpNiPtRh
Method: DFT, PBE
State: relaxed

The structure belongs to space group F-43m (No. 216); the cell edges are 6.4055, 6.4055 and 6.4055 Å and the angles 90.00°, 90.00° and 90.00°. Symmetry generates all atoms from Np at (0.0000, 0.0000, 0.0000), Ni at (0.2500, 0.2500, 0.2500), Pt at (0.0000, 0.0000, 0.5000) and Rh at (0.2500, 0.2500, 0.7500).

The value obtained for the polymorph energy (0 for the lowest one) is 158.1 meV/atom. The calculation puts the formation energy at -0.2616 eV per atom.


Material: MgReTe
Method: DFT, PBE
State: relaxed

The structure belongs to space group I4mm (No. 107); the cell edges are 3.2422, 3.2422 and 12.5622 Å and the angles 90.00°, 90.00° and 90.00°. Symmetry generates all atoms from Mg at (0.0000, 0.0000, 0.0000), Re at (0.0000, 0.0000, 0.6373) and Te at (0.0000, 0.0000, 0.2532).

The value obtained for the polymorph energy (0 for the lowest one) is 0.0 meV/atom.